(1)
# SiNi3Ru PBE-GGA optimized geometry
# D(E_F)	1.86	states/eV/atom
# uncorrected formation energy	1.424	eV/atom
data_SiNi3Ru
_space_group_name_H-M_alt 'P 1'
_space_group_IT_number 1
_cell_length_a 4.4503
_cell_length_b 4.4503
_cell_length_c 4.4503
_cell_angle_alpha 90.00
_cell_angle_beta 90.00
_cell_angle_gamma 90.00
loop_
_space_group_symop_operation_xyz
'x,y,z'
loop_
_atom_site_label
_atom_site_fract_x
_atom_site_fract_y
_atom_site_fract_z
_atom_site_occupancy
Si1 0.0000 0.0000 0.0000 1
Ni1 0.0000 0.5000 0.5000 1
Ni2 0.5000 0.0000 0.5000 1
Ni3 0.5000 0.5000 0.0000 1
Ru1 0.5000 0.5000 0.5000 1


(2)
# SiNiRu2 PBE-GGA optimized geometry
# D(E_F)	0.93	states/eV/atom
# uncorrected formation energy	-0.004	eV/atom
data_SiNiRu2
_space_group_name_H-M_alt 'P 1'
_space_group_IT_number 1
_cell_length_a 2.7599
_cell_length_b 4.2238
_cell_length_c 4.4639
_cell_angle_alpha 90.00
_cell_angle_beta 90.00
_cell_angle_gamma 90.00
loop_
_space_group_symop_operation_xyz
'x,y,z'
loop_
_atom_site_label
_atom_site_fract_x
_atom_site_fract_y
_atom_site_fract_z
_atom_site_occupancy
Si1 0.0000 0.0000 0.0000 1
Ni1 0.5000 0.0000 0.5000 1
Ru1 0.0000 0.5000 0.5000 1
Ru2 0.5000 0.5000 0.0000 1


(3)
# SiNiRu PBE-GGA optimized geometry
# D(E_F)	1.27	states/eV/atom
# uncorrected formation energy	-0.324	eV/atom
data_SiNiRu
_space_group_name_H-M_alt 'P 1'
_space_group_IT_number 1
_cell_length_a 4.9002
_cell_length_b 4.9002
_cell_length_c 4.9002
_cell_angle_alpha 145.98
_cell_angle_beta 145.98
_cell_angle_gamma 48.88
loop_
_space_group_symop_operation_xyz
'x,y,z'
loop_
_atom_site_label
_atom_site_fract_x
_atom_site_fract_y
_atom_site_fract_z
_atom_site_occupancy
Si1 0.0000 0.0000 0.0000 1
Ni1 0.6436 0.6436 0.0000 1
Ru1 0.3426 0.3426 0.0000 1


(4)
# Si2NiRu PBE-GGA optimized geometry
# D(E_F)	0.44	states/eV/atom
# uncorrected formation energy	-0.365	eV/atom
data_Si2NiRu
_space_group_name_H-M_alt 'P 1'
_space_group_IT_number 1
_cell_length_a 4.0831
_cell_length_b 2.8467
_cell_length_c 4.6708
_cell_angle_alpha 90.00
_cell_angle_beta 112.48
_cell_angle_gamma 90.00
loop_
_space_group_symop_operation_xyz
'x,y,z'
loop_
_atom_site_label
_atom_site_fract_x
_atom_site_fract_y
_atom_site_fract_z
_atom_site_occupancy
Si1 0.0000 0.0000 0.0000 1
Si2 0.0000 0.5000 0.5000 1
Ni1 0.5000 0.0000 0.5000 1
Ru1 0.5000 0.5000 0.0000 1


(5)
# Si2NiRu PBE-GGA optimized geometry
# D(E_F)	0.65	states/eV/atom
# uncorrected formation energy	-0.074	eV/atom
data_Si2NiRu
_space_group_name_H-M_alt 'P 1'
_space_group_IT_number 1
_cell_length_a 7.6861
_cell_length_b 7.6861
_cell_length_c 7.6861
_cell_angle_alpha 21.36
_cell_angle_beta 21.36
_cell_angle_gamma 21.36
loop_
_space_group_symop_operation_xyz
'x,y,z'
loop_
_atom_site_label
_atom_site_fract_x
_atom_site_fract_y
_atom_site_fract_z
_atom_site_occupancy
Si1 0.0000 0.0000 0.0000 1
Si2 0.2434 0.2434 0.2434 1
Ni1 0.5058 0.5058 0.5058 1
Ru1 0.7435 0.7435 0.7435 1


(6)
# SiNiRu2 PBE-GGA optimized geometry
# D(E_F)	1.41	states/eV/atom
# uncorrected formation energy	0.107	eV/atom
data_SiNiRu2
_space_group_name_H-M_alt 'P 1'
_space_group_IT_number 1
_cell_length_a 2.7108
_cell_length_b 2.7108
_cell_length_c 8.0961
_cell_angle_alpha 90.00
_cell_angle_beta 90.00
_cell_angle_gamma 116.42
loop_
_space_group_symop_operation_xyz
'x,y,z'
loop_
_atom_site_label
_atom_site_fract_x
_atom_site_fract_y
_atom_site_fract_z
_atom_site_occupancy
Si1 0.0000 0.0000 0.0000 1
Ni1 0.0000 0.0000 0.5000 1
Ru1 0.5000 0.5000 0.2343 1
Ru2 0.5000 0.5000 0.7657 1


(7)
# SiNiRu4 PBE-GGA optimized geometry
# D(E_F)	1.74	states/eV/atom
# uncorrected formation energy	0.722	eV/atom
data_SiNiRu4
_space_group_name_H-M_alt 'P 1'
_space_group_IT_number 1
_cell_length_a 5.0223
_cell_length_b 5.0223
_cell_length_c 5.0223
_cell_angle_alpha 60.00
_cell_angle_beta 60.00
_cell_angle_gamma 60.00
loop_
_space_group_symop_operation_xyz
'x,y,z'
loop_
_atom_site_label
_atom_site_fract_x
_atom_site_fract_y
_atom_site_fract_z
_atom_site_occupancy
Si1 0.0000 0.0000 0.0000 1
Ni1 0.7500 0.7500 0.7500 1
Ru1 0.3752 0.3752 0.3752 1
Ru2 0.3752 0.3752 0.8746 1
Ru3 0.3752 0.8746 0.3752 1
Ru4 0.8746 0.3752 0.3752 1


(8)
# SiNiRu2 PBE-GGA optimized geometry
# D(E_F)	1.20	states/eV/atom
# uncorrected formation energy	-0.148	eV/atom
data_SiNiRu2
_space_group_name_H-M_alt 'P 1'
_space_group_IT_number 1
_cell_length_a 5.1151
_cell_length_b 5.1151
_cell_length_c 5.1151
_cell_angle_alpha 148.15
_cell_angle_beta 131.07
_cell_angle_gamma 59.57
loop_
_space_group_symop_operation_xyz
'x,y,z'
loop_
_atom_site_label
_atom_site_fract_x
_atom_site_fract_y
_atom_site_fract_z
_atom_site_occupancy
Si1 0.0000 0.0000 0.0000 1
Ni1 0.5000 0.5000 0.0000 1
Ru1 0.2144 0.7144 0.5000 1
Ru2 0.7856 0.2856 0.5000 1


(9)
# SiNiRu3 PBE-GGA optimized geometry
# D(E_F)	1.16	states/eV/atom
# uncorrected formation energy	1.485	eV/atom
data_SiNiRu3
_space_group_name_H-M_alt 'P 1'
_space_group_IT_number 1
_cell_length_a 4.4129
_cell_length_b 4.4129
_cell_length_c 4.4129
_cell_angle_alpha 90.00
_cell_angle_beta 90.00
_cell_angle_gamma 90.00
loop_
_space_group_symop_operation_xyz
'x,y,z'
loop_
_atom_site_label
_atom_site_fract_x
_atom_site_fract_y
_atom_site_fract_z
_atom_site_occupancy
Si1 0.0000 0.0000 0.0000 1
Ni1 0.5000 0.5000 0.5000 1
Ru1 0.0000 0.5000 0.5000 1
Ru2 0.5000 0.0000 0.5000 1
Ru3 0.5000 0.5000 0.0000 1


(10)
# SiNiRu2 PBE-GGA optimized geometry
# D(E_F)	1.28	states/eV/atom
# uncorrected formation energy	-0.066	eV/atom
data_SiNiRu2
_space_group_name_H-M_alt 'P 1'
_space_group_IT_number 1
_cell_length_a 8.2064
_cell_length_b 8.2064
_cell_length_c 8.2064
_cell_angle_alpha 19.12
_cell_angle_beta 19.12
_cell_angle_gamma 19.12
loop_
_space_group_symop_operation_xyz
'x,y,z'
loop_
_atom_site_label
_atom_site_fract_x
_atom_site_fract_y
_atom_site_fract_z
_atom_site_occupancy
Si1 0.0000 0.0000 0.0000 1
Ni1 0.7404 0.7404 0.7404 1
Ru1 0.2519 0.2519 0.2519 1
Ru2 0.4963 0.4963 0.4963 1


(11)
# SiNiRu2 PBE-GGA optimized geometry
# D(E_F)	1.66	states/eV/atom
# uncorrected formation energy	0.004	eV/atom
data_SiNiRu2
_space_group_name_H-M_alt 'P 1'
_space_group_IT_number 1
_cell_length_a 4.1863
_cell_length_b 4.1863
_cell_length_c 4.1863
_cell_angle_alpha 60.00
_cell_angle_beta 60.00
_cell_angle_gamma 60.00
loop_
_space_group_symop_operation_xyz
'x,y,z'
loop_
_atom_site_label
_atom_site_fract_x
_atom_site_fract_y
_atom_site_fract_z
_atom_site_occupancy
Si1 0.0000 0.0000 0.0000 1
Ni1 0.2500 0.2500 0.2500 1
Ru1 0.5000 0.5000 0.5000 1
Ru2 0.7500 0.7500 0.7500 1


(12)
# SiNiRu PBE-GGA optimized geometry
# D(E_F)	0.74	states/eV/atom
# uncorrected formation energy	-0.365	eV/atom
data_SiNiRu
_space_group_name_H-M_alt 'P 1'
_space_group_IT_number 1
_cell_length_a 3.8732
_cell_length_b 3.8732
_cell_length_c 3.8732
_cell_angle_alpha 60.00
_cell_angle_beta 60.00
_cell_angle_gamma 60.00
loop_
_space_group_symop_operation_xyz
'x,y,z'
loop_
_atom_site_label
_atom_site_fract_x
_atom_site_fract_y
_atom_site_fract_z
_atom_site_occupancy
Si1 0.0000 0.0000 0.0000 1
Ni1 0.2500 0.2500 0.2500 1
Ru1 0.7500 0.7500 0.7500 1


(13)
# Si2NiRu PBE-GGA optimized geometry
# D(E_F)	0.58	states/eV/atom
# uncorrected formation energy	0.233	eV/atom
data_Si2NiRu
_space_group_name_H-M_alt 'P 1'
_space_group_IT_number 1
_cell_length_a 6.2437
_cell_length_b 6.2437
_cell_length_c 6.2437
_cell_angle_alpha 129.07
_cell_angle_beta 129.07
_cell_angle_gamma 74.90
loop_
_space_group_symop_operation_xyz
'x,y,z'
loop_
_atom_site_label
_atom_site_fract_x
_atom_site_fract_y
_atom_site_fract_z
_atom_site_occupancy
Si1 0.1141 0.6250 0.9891 1
Si2 0.3750 0.3641 0.4891 1
Si3 0.6359 0.1250 0.0109 1
Si4 0.8750 0.8859 0.5109 1
Ni1 0.0000 0.0000 0.0000 1
Ni2 0.7500 0.2500 0.5000 1
Ru1 0.2500 0.7500 0.5000 1
Ru2 0.5000 0.5000 0.0000 1